First-principles (PBE-GGA) data for a relaxed structure of Np2GePt6, as listed in Alexandria via LeMat-Bulk.

Properties
- formation enthalpy at 0 K (kJ/mol of formula units) = -502
- V (A^3/atom) = 18.5
- total energy (eV per atom) = -7.99

```
data_Np2GePt6
_symmetry_space_group_name_H-M 'C 1 2/m 1'
_symmetry_Int_Tables_number 12
_symmetry_space_group_name_Hall '-C 2y'
_cell_length_a 9.650
_cell_length_b 5.627
_cell_length_c 6.313
_cell_angle_alpha 90.00
_cell_angle_beta 103.36
_cell_angle_gamma 90.00
loop_
_atom_site_label
_atom_site_fract_x
_atom_site_fract_y
_atom_site_fract_z
Np1 0.145 0.000 0.363
Ge1 0.000 0.500 0.500
Pt1 0.126 0.500 0.199
Pt2 0.132 0.244 0.816
```



First-principles (PBE-GGA) data for a relaxed structure of NpGe2Pt2, as listed in Alexandria via LeMat-Bulk.

Properties
- formation enthalpy at 0 K (kJ/mol of formula units) = -258
- V (A^3/atom) = 19.0
- total energy (eV per atom) = -7.39

```
data_NpGe2Pt2
_symmetry_space_group_name_H-M 'P 4/n m m'
_symmetry_Int_Tables_number 129
_cell_length_a 4.347
_cell_length_b 4.347
_cell_length_c 10.058
_cell_angle_alpha 90.00
_cell_angle_beta 90.00
_cell_angle_gamma 90.00
loop_
_symmetry_equiv_pos_as_xyz
'x,y,z'
'-x,-y,-z'
'-y+1/2,x,z'
'y+1/2,-x,-z'
'-x+1/2,-y+1/2,z'
'x+1/2,y+1/2,-z'
'y,-x+1/2,z'
'-y,x+1/2,-z'
'x+1/2,-y,-z'
'-x+1/2,y,z'
'-y,-x,-z'
'y,x,z'
'-x,y+1/2,-z'
'x,-y+1/2,z'
'y+1/2,x+1/2,-z'
'-y+1/2,-x+1/2,z'
loop_
_atom_site_label
_atom_site_fract_x
_atom_site_fract_y
_atom_site_fract_z
Np1 0.250 0.250 0.249
Ge1 0.250 0.250 0.632
Ge2 0.250 0.750 0.000
Pt1 0.250 0.250 0.874
Pt2 0.250 0.750 0.500
```



First-principles (PBE-GGA) data for a relaxed structure of NpGePt4, as listed in Alexandria via LeMat-Bulk.

Properties
- formation enthalpy at 0 K (kJ/mol of formula units) = -273
- V (A^3/atom) = 18.1
- total energy (eV per atom) = -7.43
- polymorph energy (0 for the lowest one) (kJ per mole of atoms) = 0.0

```
data_NpGePt4
_symmetry_space_group_name_H-M 'C 1 2/m 1'
_symmetry_Int_Tables_number 12
_symmetry_space_group_name_Hall '-C 2y'
_cell_length_a 10.962
_cell_length_b 5.724
_cell_length_c 7.486
_cell_angle_alpha 90.00
_cell_angle_beta 112.00
_cell_angle_gamma 90.00
loop_
_atom_site_label
_atom_site_fract_x
_atom_site_fract_y
_atom_site_fract_z
Np1 0.204 0.000 0.314
Ge1 0.057 0.500 0.275
Pt1 0.000 0.239 0.500
Pt2 0.112 0.241 0.939
Pt3 0.227 0.000 0.729
```



First-principles (PBE-GGA) data for a relaxed structure of Np2Ge3Pt2, as listed in Alexandria via LeMat-Bulk.

Properties
- formation enthalpy at 0 K (kJ/mol of formula units) = -287
- V (A^3/atom) = 19.6
- total energy (eV per atom) = -7.83
- polymorph energy (0 for the lowest one) (kJ per mole of atoms) = 0.0

```
data_Np2Ge3Pt2
_symmetry_space_group_name_H-M 'C m c m'
_symmetry_Int_Tables_number 63
_symmetry_space_group_name_Hall '-C 2c 2'
_cell_length_a 4.264
_cell_length_b 18.277
_cell_length_c 7.047
_cell_angle_alpha 90.00
_cell_angle_beta 90.00
_cell_angle_gamma 90.00
loop_
_atom_site_label
_atom_site_fract_x
_atom_site_fract_y
_atom_site_fract_z
Np1 0.000 0.052 0.250
Np2 0.000 0.152 0.750
Ge1 0.000 0.219 0.250
Ge2 0.000 0.437 0.065
Pt1 0.000 0.305 0.546
```



First-principles (PBE-GGA) data for a relaxed structure of Np2Ge3Pt, as listed in Alexandria via LeMat-Bulk.

Properties
- formation enthalpy at 0 K (kJ/mol of formula units) = -177
- V (A^3/atom) = 19.2
- total energy (eV per atom) = -7.93

```
data_Np2Ge3Pt
_symmetry_space_group_name_H-M 'F m m m'
_symmetry_Int_Tables_number 69
_symmetry_space_group_name_Hall '-F 2 2'
_cell_length_a 5.608
_cell_length_b 8.608
_cell_length_c 19.096
_cell_angle_alpha 90.00
_cell_angle_beta 90.00
_cell_angle_gamma 90.00
loop_
_atom_site_label
_atom_site_fract_x
_atom_site_fract_y
_atom_site_fract_z
Np1 0.246 0.000 0.000
Np2 0.250 0.250 0.250
Ge1 0.000 0.000 0.164
Ge2 0.000 0.249 0.413
Pt1 0.000 0.000 0.340
```



First-principles (PBE-GGA) data for a relaxed structure of Np2Ge4Pt3, as listed in Alexandria via LeMat-Bulk.

Properties
- formation enthalpy at 0 K (kJ/mol of formula units) = -427
- V (A^3/atom) = 18.3
- total energy (eV per atom) = -7.43

```
data_Np2Ge4Pt3
_symmetry_space_group_name_H-M 'C m c e'
_symmetry_Int_Tables_number 64
_symmetry_space_group_name_Hall '-C 2ac 2'
_cell_length_a 5.719
_cell_length_b 15.017
_cell_length_c 7.691
_cell_angle_alpha 90.00
_cell_angle_beta 90.00
_cell_angle_gamma 90.00
loop_
_atom_site_label
_atom_site_fract_x
_atom_site_fract_y
_atom_site_fract_z
Np1 0.000 0.104 0.089
Ge1 0.000 0.179 0.471
Ge2 0.250 0.057 0.750
Pt1 0.000 0.000 0.500
Pt2 0.250 0.227 0.750
```



First-principles (PBE-GGA) data for a relaxed structure of Np3Ge4Pt7, as listed in Alexandria via LeMat-Bulk.

Properties
- formation enthalpy at 0 K (kJ/mol of formula units) = -751
- V (A^3/atom) = 18.3
- total energy (eV per atom) = -7.67

```
data_Np3Ge4Pt7
_symmetry_space_group_name_H-M 'C 1 2/m 1'
_symmetry_Int_Tables_number 12
_symmetry_space_group_name_Hall '-C 2y'
_cell_length_a 15.802
_cell_length_b 4.093
_cell_length_c 9.747
_cell_angle_alpha 90.00
_cell_angle_beta 125.59
_cell_angle_gamma 90.00
loop_
_atom_site_label
_atom_site_fract_x
_atom_site_fract_y
_atom_site_fract_z
Np1 0.000 0.000 0.000
Np2 0.173 0.500 0.670
Ge1 0.110 0.000 0.829
Ge2 0.164 0.500 0.263
Pt1 0.000 0.000 0.500
Pt2 0.011 0.500 0.285
Pt3 0.167 0.000 0.427
Pt4 0.192 0.500 0.035
```



First-principles (PBE-GGA) data for a relaxed structure of Np2Ge3Pt5, as listed in Alexandria via LeMat-Bulk.

Properties
- formation enthalpy at 0 K (kJ/mol of formula units) = -516
- V (A^3/atom) = 18.1
- total energy (eV per atom) = -7.53
- polymorph energy (0 for the lowest one) (kJ per mole of atoms) = 0.9

```
data_Np2Ge3Pt5
_symmetry_space_group_name_H-M 'C 1 c 1'
_symmetry_Int_Tables_number 9
_symmetry_space_group_name_Hall 'C -2yc'
_cell_length_a 4.380
_cell_length_b 23.942
_cell_length_c 6.907
_cell_angle_alpha 90.00
_cell_angle_beta 90.05
_cell_angle_gamma 90.00
loop_
_atom_site_label
_atom_site_fract_x
_atom_site_fract_y
_atom_site_fract_z
Np1 0.000 0.020 0.000
Np2 0.000 0.327 0.984
Ge1 0.000 0.103 0.329
Ge2 0.000 0.446 0.190
Ge3 0.001 0.277 0.409
Pt1 0.000 0.111 0.715
Pt2 0.000 0.451 0.804
Pt3 0.001 0.193 0.135
Pt4 0.001 0.229 0.723
Pt5 0.001 0.379 0.485
```